# H4PbI3N

A geometry-optimized H4PbI3N structure (PBEsol, the Alexandria database).

Computed properties:
Total DFT energy (no corrections) (eV/atom): -3.9399
Energy above the most stable polymorph in this dataset (eV/atom): 0.038
Theoretical density (Mg/m³): 4.269

a b c (Å): 8.1004 9.5459 6.0959
angles (deg): 90.00 90.13 90.00
With the nearest neighbours (Å) after each atom.
Space group Cm (No. 8)
Symmetry-distinct sites (fractional):
H 0.0000 0.0000 0.0000 (multiplicity 2)  1 N 1.04
H 0.0159 0.0875 0.2448 (multiplicity 4)  1 N 1.05
H 0.1827 0.0000 0.1395 (multiplicity 2)  1 N 1.05
Pb 0.0899 0.5000 0.6118 (multiplicity 2)  6 I 3.13-3.23
I 0.0007 0.5000 0.1121 (multiplicity 2)  1 H 2.58
I 0.3943 0.2954 0.6089 (multiplicity 4)  1 H 2.67
N 0.0537 0.0000 0.1547 (multiplicity 2)  4 H 1.04-1.05